(1)
The following is a PBE-GGA calculation of a relaxed structure of MoPSCl2, from the Alexandria database.

Calculated values
Magnetic moment = 0.00 Bohr magnetons per cell
Space group = P4/mmm

abc: 4.5853 4.5853 5.0176
angles: 90.00 90.00 90.00
Last column: nearest neighbours and their distance in Å.
Element x y z (fractional)
P 0.0000 0.0000 0.5000  2 Mo 2.51
Mo 0.0000 0.0000 0.0000  4 Cl 2.29, 2 P 2.51
S 0.5000 0.5000 0.5000  4 P 3.24, 8 Cl 3.40
Cl 0.0000 0.5000 0.0000  2 Mo 2.29
Cl 0.5000 0.0000 0.0000  2 Mo 2.29

(2)
The following is a PBE-GGA calculation of a relaxed structure of MoPSCl2, from the Alexandria database.

Calculated values
Magnetic moment = 3.77 Bohr magnetons per cell
Space group = P4/mmm

abc: 4.9024 4.9024 4.6926
angles: 90.00 90.00 90.00
Last column: nearest neighbours and their distance in Å.
Element x y z (fractional)
P 0.5000 0.5000 0.5000  8 Cl 3.39, 4 S 3.47
Mo 0.0000 0.0000 0.0000  2 S 2.35, 4 Cl 2.45
S 0.0000 0.0000 0.5000  2 Mo 2.35
Cl 0.0000 0.5000 0.0000  2 Mo 2.45
Cl 0.5000 0.0000 0.0000  2 Mo 2.45

(3)
The following is a PBE-GGA calculation of a relaxed structure of MoPS2Cl, from the Alexandria database.

Calculated values
Magnetic moment = 0.00 Bohr magnetons per cell
Space group = P4/mmm

abc: 4.5866 4.5866 4.9258
angles: 90.00 90.00 90.00
Last column: nearest neighbours and their distance in Å.
Element x y z (fractional)
P 0.0000 0.0000 0.5000  2 Mo 2.46
Mo 0.0000 0.0000 0.0000  4 S 2.29, 2 P 2.46
S 0.0000 0.5000 0.0000  2 Mo 2.29
S 0.5000 0.0000 0.0000  2 Mo 2.29
Cl 0.5000 0.5000 0.5000  4 P 3.24, 8 S 3.37

(4)
The following is a PBE-GGA calculation of a relaxed structure of SbMoPCl2, from the Alexandria database.

Calculated values
Magnetic moment = 4.31 Bohr magnetons per cell
Space group = P4/mmm

abc: 5.1235 5.1235 5.3666
angles: 90.00 90.00 90.00
Last column: nearest neighbours and their distance in Å.
Element x y z (fractional)
Sb 0.0000 0.0000 0.0000  4 Cl 2.56, 2 P 2.68
Mo 0.5000 0.5000 0.5000  4 P 3.62, 8 Cl 3.71
P 0.0000 0.0000 0.5000  2 Sb 2.68
Cl 0.0000 0.5000 0.0000  2 Sb 2.56
Cl 0.5000 0.0000 0.0000  2 Sb 2.56

Computed energy relative to the elements, uncorrected (eV per atom) in order:
0.412; 0.381; 0.190; 0.852